A plane-wave DFT calculation with PBE-GGA was carried out for an optimized crystal structure of MgTcH2.

```
8
Lattice="4.307 0.000 0.000 0.000 4.307 0.000 2.154 2.154 4.349" Properties=species:S:1:pos:R:3 pbc="T T T"
Mg 2.154 2.154 0.000
H 3.393 1.077 1.087
Tc 0.000 0.000 0.000
Mg 2.154 4.307 2.174
Tc 4.307 2.154 2.174
H 0.915 3.230 1.087
H 5.384 5.546 3.262
H 3.230 3.068 3.262
```

Computed properties:
**Energy relative to the lowest polymorph listed for this composition**: 0.00 eV/f.u.
**Calculated total energy**: -36.4 eV per cell
**Mass density**: 5.12 g cm⁻³
**Spin magnetization**: 1.03 μB per formula unit

***

A plane-wave DFT calculation with PBE-GGA was carried out for an optimized crystal structure of MgTcH3.

```
5
Lattice="-0.412 -2.469 2.343 2.615 1.281 1.810 -2.179 2.004 1.730" Properties=species:S:1:pos:R:3 pbc="T T T"
H -1.089 1.002 0.865
H -0.206 -1.235 1.171
H 1.308 0.641 0.905
Tc 0.012 0.408 2.941
Mg 0.000 0.000 0.000
```

Computed properties:
**Energy relative to the lowest polymorph listed for this composition**: 3.76 eV/f.u.
**Calculated total energy**: -18.6 eV per cell
**Mass density**: 5.16 g cm⁻³
**Spin magnetization**: 0.00 μB per formula unit

***

A plane-wave DFT calculation with PBE-GGA was carried out for an optimized crystal structure of Mg2ZnTcH6.

```
20
Lattice="-0.006 -4.004 -2.695 4.013 -1.359 -2.312 3.994 -6.935 5.972" Properties=species:S:1:pos:R:3 pbc="T T T"
H 4.973 -7.613 0.390
H 3.028 -4.685 0.575
H 6.399 -7.869 3.032
H 3.693 -5.138 -3.272
H 4.976 -5.514 1.802
H 5.132 -5.398 -0.637
Zn 4.708 -7.520 2.517
Tc 4.001 -6.149 0.482
H 1.602 -4.429 -2.067
Zn 3.293 -4.779 -1.552
H 4.308 -7.161 4.237
Mg 6.476 -10.144 2.089
H 3.696 -3.051 -1.867
Mg 1.525 -2.155 -1.124
H 4.305 -9.247 2.832
Mg 2.870 -4.758 2.741
Tc 0.000 0.000 0.000
H 3.025 -6.784 -0.838
H 2.869 -6.901 1.601
Mg 5.131 -7.540 -1.776
```

Computed properties:
**Calculated total energy**: -70.8 eV per cell
**Mass density**: 3.74 g cm⁻³
**Spin magnetization**: 0.00 μB per formula unit

***

A plane-wave DFT calculation with PBE-GGA was carried out for an optimized crystal structure of MgZr2TcH.

```
5
Lattice="-2.067 2.555 3.210 -1.563 -3.814 2.029 3.091 -0.146 2.107" Properties=species:S:1:pos:R:3 pbc="T T T"
Zr -0.782 -1.907 1.015
Tc -0.270 -0.702 3.673
Zr -1.034 1.278 1.605
Mg 1.546 -0.073 1.054
H 0.000 0.000 0.000
```

Computed properties:
**Energy relative to the lowest polymorph listed for this composition**: 0.31 eV/f.u.
**Calculated total energy**: -32.9 eV per cell
**Mass density**: 6.42 g cm⁻³
**Spin magnetization**: 0.00 μB per formula unit

***

A plane-wave DFT calculation with PBE-GGA was carried out for an optimized crystal structure of MgZr2TcH.

```
5
Lattice="4.693 0.000 0.000 0.000 4.693 0.000 0.000 0.000 3.655" Properties=species:S:1:pos:R:3 pbc="T T T"
Zr 0.000 2.346 0.000
Zr 2.346 0.000 0.000
Mg 2.346 2.346 1.827
H 0.000 0.000 0.000
Tc 0.000 0.000 1.827
```

Computed properties:
**Energy relative to the lowest polymorph listed for this composition**: 0.00 eV/f.u.
**Calculated total energy**: -33.2 eV per cell
**Mass density**: 6.31 g cm⁻³
**Spin magnetization**: 0.07 μB per formula unit

***

A plane-wave DFT calculation with PBE-GGA was carried out for an optimized crystal structure of Mg3TeH.

```
5
Lattice="4.634 0.000 0.000 0.000 4.634 0.000 0.000 0.000 4.634" Properties=species:S:1:pos:R:3 pbc="T T T"
H 0.000 0.000 0.000
Te 2.317 2.317 2.317
Mg 0.000 2.317 0.000
Mg 0.000 0.000 2.317
Mg 2.317 0.000 0.000
```

Computed properties:
**Calculated total energy**: -11.5 eV per cell
**Mass density**: 3.36 g cm⁻³
**Spin magnetization**: 0.00 μB per formula unit

***

A plane-wave DFT calculation with PBE-GGA was carried out for an optimized crystal structure of Mg2TeH.

```
8
Lattice="-1.244 4.386 2.641 -0.218 -2.760 4.482 5.640 1.995 4.599" Properties=species:S:1:pos:R:3 pbc="T T T"
H 2.346 0.024 6.321
Mg 3.658 1.802 6.614
Te 1.833 3.597 5.401
Te 0.000 0.000 0.000
Mg 0.982 -0.196 4.572
Mg 0.742 2.412 3.070
H -0.731 0.813 3.561
Mg 2.975 3.222 9.188
```

Computed properties:
**Energy relative to the lowest polymorph listed for this composition**: 0.00 eV/f.u.
**Calculated total energy**: -21.0 eV per cell
**Mass density**: 3.23 g cm⁻³
**Spin magnetization**: 0.00 μB per formula unit

***

A plane-wave DFT calculation with PBE-GGA was carried out for an optimized crystal structure of Mg4Te4H3.

```
11
Lattice="-0.236 3.781 -4.758 -2.318 -0.587 3.665 5.354 9.712 7.668" Properties=species:S:1:pos:R:3 pbc="T T T"
Te -0.122 5.374 0.675
Mg -0.264 2.334 0.296
H 3.797 12.821 4.979
Te 1.763 5.386 4.471
Mg 0.034 3.535 3.142
Te 2.786 12.428 6.270
Te 3.424 9.205 3.548
H -1.079 2.313 2.137
Mg 1.709 7.343 2.138
H 2.221 8.871 5.354
Mg 3.516 7.294 5.922
```

Computed properties:
**Calculated total energy**: -33.2 eV per cell
**Mass density**: 4.17 g cm⁻³
**Spin magnetization**: 0.00 μB per formula unit

***

A plane-wave DFT calculation with PBE-GGA was carried out for an optimized crystal structure of Mg2TeH6.

```
9
Lattice="4.534 0.000 2.618 1.511 4.275 2.618 0.000 0.000 5.236" Properties=species:S:1:pos:R:3 pbc="T T T"
Mg 4.534 3.206 7.854
H 2.340 3.104 6.419
Te 0.000 0.000 0.000
H 4.389 3.104 5.236
H 3.706 1.171 4.053
Mg 1.511 1.069 2.618
H 1.657 1.171 5.236
H 2.340 3.104 4.053
H 3.706 1.171 6.419
```

Computed properties:
**Calculated total energy**: -20.3 eV per cell
**Mass density**: 2.98 g cm⁻³
**Spin magnetization**: 0.00 μB per formula unit

***

A plane-wave DFT calculation with PBE-GGA was carried out for an optimized crystal structure of MgTe3H.

```
5
Lattice="-2.396 -2.192 -4.424 4.936 -1.192 -2.082 -0.129 -4.888 2.491" Properties=species:S:1:pos:R:3 pbc="T T T"
Te -0.065 -2.444 1.246
H 1.205 -4.136 -2.008
Te 2.468 -0.596 -1.041
Mg 0.000 0.000 0.000
Te -1.198 -1.096 -2.212
```

Computed properties:
**Energy relative to the lowest polymorph listed for this composition**: 1.33 eV/f.u.
**Calculated total energy**: -11.1 eV per cell
**Mass density**: 4.10 g cm⁻³
**Spin magnetization**: 1.06 μB per formula unit

***

A plane-wave DFT calculation with PBE-GGA was carried out for an optimized crystal structure of MgTe3H.

```
5
Lattice="4.817 0.000 0.000 0.000 4.817 0.000 0.000 0.000 4.817" Properties=species:S:1:pos:R:3 pbc="T T T"
Mg 2.408 2.408 2.408
Te 0.000 0.000 2.408
H 0.000 0.000 0.000
Te 0.000 2.408 0.000
Te 2.408 0.000 0.000
```

Computed properties:
**Energy relative to the lowest polymorph listed for this composition**: 0.00 eV/f.u.
**Calculated total energy**: -12.4 eV per cell
**Mass density**: 6.06 g cm⁻³
**Spin magnetization**: 0.00 μB per formula unit

***

A plane-wave DFT calculation with PBE-GGA was carried out for an optimized crystal structure of Mg2TeH.

```
4
Lattice="0.000 3.441 3.441 3.441 0.000 3.441 3.441 3.441 0.000" Properties=species:S:1:pos:R:3 pbc="T T T"
H 0.000 0.000 0.000
Te 3.441 3.441 3.441
Mg 1.721 1.721 1.721
Mg 5.162 5.162 5.162
```

Computed properties:
**Energy relative to the lowest polymorph listed for this composition**: 0.91 eV/f.u.
**Calculated total energy**: -9.6 eV per cell
**Mass density**: 3.61 g cm⁻³
**Spin magnetization**: 0.00 μB per formula unit

***

A plane-wave DFT calculation with PBE-GGA was carried out for an optimized crystal structure of ThMg2H6.

```
9
Lattice="-3.836 2.915 -2.810 -5.367 -0.290 1.490 -2.471 4.391 2.392" Properties=species:S:1:pos:R:3 pbc="T T T"
H -6.043 5.174 0.117
H -7.314 3.120 -0.278
Mg -2.919 1.754 0.268
Th 0.000 0.000 0.000
H -4.360 3.895 1.351
H -6.715 3.768 2.005
H -5.631 1.841 0.955
Mg -8.756 5.261 0.804
H -4.959 3.247 -0.932
```

Computed properties:
**Calculated total energy**: -26.7 eV per cell
**Mass density**: 3.88 g cm⁻³
**Spin magnetization**: 0.00 μB per formula unit

***

A plane-wave DFT calculation with PBE-GGA was carried out for an optimized crystal structure of Th3Mg5H12.

```
80
Lattice="10.909 0.000 0.000 -3.636 10.285 0.000 -3.636 -5.143 8.907" Properties=species:S:1:pos:R:3 pbc="T T T"
Mg -2.727 5.786 3.340
H 1.095 0.755 5.180
H 5.583 9.153 0.459
Mg 5.455 0.000 0.000
H 4.950 5.743 4.912
H 2.541 4.388 3.728
H -3.508 4.010 8.449
H -0.723 5.897 3.728
H 7.619 5.158 1.478
H 3.983 1.272 8.156
H -3.765 7.545 3.243
H 7.401 -2.402 5.664
Mg 1.818 2.571 4.454
H -3.132 4.542 4.912
Th -4.546 5.143 6.681
Mg 0.000 0.000 0.000
Mg -0.909 2.571 2.227
H 7.145 1.133 0.459
H -0.346 6.430 0.726
Th -2.727 1.929 7.794
Mg 2.727 1.929 1.113
H -1.095 3.606 7.697
Mg 0.909 -2.571 6.681
Th 2.727 0.000 6.681
Th 0.909 -0.643 3.340
H 7.996 2.292 2.517
H -1.313 -0.600 3.995
H 1.472 1.287 8.182
H 3.132 -1.189 2.976
Mg 2.727 7.714 2.227
Mg -1.818 -2.571 4.454
Mg -0.909 0.643 5.567
H 2.165 6.415 0.752
H -4.359 2.851 6.390
Th -2.727 -1.929 7.794
H -0.346 3.871 0.752
Mg 4.546 2.571 6.681
H -1.946 2.402 5.664
Th 4.546 0.643 3.340
H 5.960 -0.588 1.936
H 1.946 -1.608 5.206
Mg 6.364 -0.643 5.567
H -0.505 0.588 1.936
H 2.165 3.856 0.726
Mg 4.546 4.500 3.340
H 1.690 6.750 3.702
H 2.323 1.189 2.976
H 5.108 5.128 1.478
H 5.583 2.741 3.243
H -2.323 5.731 6.971
Th -0.909 4.500 5.567
H 0.128 3.535 3.702
Mg -0.909 8.357 1.113
H 3.508 1.608 5.206
H 3.983 -1.287 8.182
H 6.550 -3.606 7.697
H -3.983 -0.015 7.430
H 1.313 3.954 5.931
H 6.768 0.600 3.995
H 4.359 -0.755 5.180
H 1.472 -1.272 8.156
Mg 0.909 3.214 7.794
Mg -3.636 2.571 4.454
Mg 3.636 -2.571 4.454
Th 8.182 0.000 2.227
Th 6.364 3.214 1.113
H -1.095 -2.851 6.390
H -1.946 -4.010 8.449
H 0.505 6.331 5.931
H 4.732 7.994 2.517
H -2.914 8.749 1.211
Th 2.727 5.786 5.567
Mg -1.818 5.143 0.000
Th 0.909 5.143 2.227
Mg 3.636 5.143 0.000
H 4.141 4.554 6.971
H -1.472 0.015 7.430
H 4.732 1.537 1.211
Mg 4.546 -3.214 7.794
Th 6.364 7.071 1.113
```

Computed properties:
**Calculated total energy**: -296.3 eV per cell
**Mass density**: 5.51 g cm⁻³
**Spin magnetization**: 0.00 μB per formula unit

***

A plane-wave DFT calculation with PBE-GGA was carried out for an optimized crystal structure of Th3MgH.

```
5
Lattice="5.016 0.000 0.000 0.000 5.016 0.000 0.000 0.000 5.016" Properties=species:S:1:pos:R:3 pbc="T T T"
Mg 2.508 2.508 2.508
Th 0.000 0.000 2.508
H 0.000 0.000 0.000
Th 0.000 2.508 0.000
Th 2.508 0.000 0.000
```

Computed properties:
**Calculated total energy**: -27.5 eV per cell
**Mass density**: 9.49 g cm⁻³
**Spin magnetization**: 0.00 μB per formula unit

***

A plane-wave DFT calculation with PBE-GGA was carried out for an optimized crystal structure of ThMgH.

```
3
Lattice="3.472 0.000 0.000 -1.736 3.007 0.000 0.000 0.000 5.758" Properties=species:S:1:pos:R:3 pbc="T T T"
H 0.000 2.004 3.747
Mg 0.000 0.000 5.320
Th 1.736 1.002 2.449
```

Computed properties:
**Energy relative to the lowest polymorph listed for this composition**: 0.00 eV/f.u.
**Calculated total energy**: -12.6 eV per cell
**Mass density**: 7.11 g cm⁻³
**Spin magnetization**: 0.00 μB per formula unit

***

A plane-wave DFT calculation with PBE-GGA was carried out for an optimized crystal structure of ThMgH.

```
6
Lattice="3.351 0.000 0.000 -1.675 5.651 0.000 0.000 0.000 6.699" Properties=species:S:1:pos:R:3 pbc="T T T"
Mg 0.000 3.035 5.025
H 1.675 0.271 5.025
Th 0.000 0.000 3.350
Mg 1.675 2.616 1.675
H 0.000 5.380 1.675
Th 0.000 0.000 0.000
```

Computed properties:
**Energy relative to the lowest polymorph listed for this composition**: 0.23 eV/f.u.
**Calculated total energy**: -24.7 eV per cell
**Mass density**: 6.74 g cm⁻³
**Spin magnetization**: 0.00 μB per formula unit

***

A plane-wave DFT calculation with PBE-GGA was carried out for an optimized crystal structure of MgTi6H8.

```
15
Lattice="-2.396 3.284 -3.435 -4.192 -1.371 2.979 2.242 3.587 3.231" Properties=species:S:1:pos:R:3 pbc="T T T"
Mg 0.000 0.000 0.000
Ti -3.003 2.838 3.450
H -3.200 4.049 2.043
Ti -1.609 4.895 1.555
H -2.419 4.072 0.050
H -1.314 3.507 2.900
Ti -2.738 0.605 1.220
H -3.032 1.993 -0.125
Ti -0.188 2.135 2.181
H -1.146 1.451 0.732
H -0.498 3.485 0.884
Ti -4.158 3.365 0.594
Ti -1.343 2.662 -0.675
H -1.927 1.428 2.725
H -3.848 2.014 1.891
```

Computed properties:
**Calculated total energy**: -80.5 eV per cell
**Mass density**: 3.69 g cm⁻³
**Spin magnetization**: 0.00 μB per formula unit

***

A plane-wave DFT calculation with PBE-GGA was carried out for an optimized crystal structure of MgTi2H.

```
4
Lattice="-1.992 -1.627 -1.340 0.156 -2.892 0.143 -5.191 -1.422 6.305" Properties=species:S:1:pos:R:3 pbc="T T T"
Ti -3.594 -1.451 3.967
Mg 0.000 0.000 0.000
Ti -3.433 -4.490 1.141
H -3.513 -2.971 2.554
```

Computed properties:
**Energy relative to the lowest polymorph listed for this composition**: 0.67 eV/f.u.
**Calculated total energy**: -20.3 eV per cell
**Mass density**: 3.40 g cm⁻³
**Spin magnetization**: 1.16 μB per formula unit

***

A plane-wave DFT calculation with PBE-GGA was carried out for an optimized crystal structure of MgTi3H.

```
5
Lattice="4.174 0.000 0.000 0.000 4.174 0.000 0.000 0.000 4.174" Properties=species:S:1:pos:R:3 pbc="T T T"
Ti 0.000 2.087 0.000
Ti 0.000 0.000 2.087
Ti 2.087 0.000 0.000
H 0.000 0.000 0.000
Mg 2.087 2.087 2.087
```

Computed properties:
**Energy relative to the lowest polymorph listed for this composition**: 0.00 eV/f.u.
**Calculated total energy**: -28.9 eV per cell
**Mass density**: 3.86 g cm⁻³
**Spin magnetization**: 0.00 μB per formula unit